First-principles (PBE) data for crystalline BaPIr at its relaxed geometry, as listed in Alexandria.

Computed properties:
V   25.8 A^3/atom
VASP energy   -5.0070 eV per atom
Magnetic moment   0.39 μB per atom
DFT formation energy   0.3909 eV/atom

Cell lengths 4.7809, 4.7809, 4.7809 Å; angles 60.00, 60.00, 60.00 degrees
Fractional positions:
Ba (0.0000, 0.0000, 0.0000)
Ir (0.5000, 0.5000, 0.5000)
P (0.7500, 0.7500, 0.7500)



First-principles (PBE) data for crystalline CrFe2AgAs at its relaxed geometry, as listed in Alexandria.

Computed properties:
V   18.1 A^3/atom
VASP energy   -6.0471 eV per atom
Magnetic moment   1.69 μB per atom
DFT formation energy   0.7628 eV/atom

Cell lengths 4.4206, 4.6432, 4.4206 Å; angles 90.00, 90.00, 90.00 degrees
Fractional positions:
Cr (0.0000, 0.5000, 0.0000)
As (0.0000, 0.0000, 0.0000)
Fe (0.0000, 0.0000, 0.5000)
Fe (0.5000, 0.0000, 0.0000)
Ag (0.5000, 0.5000, 0.5000)



First-principles (PBE) data for crystalline BaCdHg2F8 at its relaxed geometry, as listed in Alexandria.

Computed properties:
Raw formation energy   -2.196 eV per atom
V   16.0 A^3/atom
VASP energy   -3.7307 eV per atom
Magnetic moment   0.00 μB per atom

Cell lengths 5.7654, 5.7654, 7.0697 Å; angles 114.06, 114.06, 90.00 degrees
Fractional positions:
Ba (0.7500, 0.2500, 0.5000)
Cd (0.0000, 0.0000, 0.0000)
Hg (0.5000, 0.5000, 0.0000)
Hg (0.2500, 0.7500, 0.5000)
F (0.8833, 0.8585, 0.2346)
F (0.3513, 0.3761, 0.2346)
F (0.6253, 0.6496, 0.7656)
F (0.1404, 0.1161, 0.7656)
F (0.8839, 0.3747, 0.2344)
F (0.3504, 0.8596, 0.2344)
F (0.1415, 0.6487, 0.7654)
F (0.6239, 0.1167, 0.7654)



First-principles (PBE) data for crystalline CsLiP at its relaxed geometry, as listed in Alexandria.

Computed properties:
Energy above the lowest structure with this stoichiometry   0.0000 eV per atom
V   38.7 A^3/atom
VASP energy   -3.1730 eV per atom
Magnetic moment   0.00 μB per atom
DFT formation energy   -0.4472 eV/atom

Cell lengths 4.6618, 12.2226, 4.6604 Å; angles 111.89, 108.69, 78.29 degrees
Fractional positions:
Cs (0.2349, 0.3089, 0.2216)
Cs (0.6433, 0.7950, 0.0662)
Li (0.6470, 0.0512, 0.9370)
Li (0.2309, 0.0528, 0.3526)
P (0.7735, 0.1211, 0.5592)
P (0.1040, 0.9828, 0.7299)



First-principles (PBE) data for crystalline TaMo5 at its relaxed geometry, as listed in Alexandria.

Computed properties:
Energy above the lowest structure with this stoichiometry   0.0277 eV per atom
V   16.2 A^3/atom
VASP energy   -11.0825 eV per atom
Magnetic moment   0.00 μB per atom
DFT formation energy   -0.0811 eV/atom

Cell lengths 4.4952, 2.7774, 8.2547 Å; angles 70.34, 90.00, 90.00 degrees
Fractional positions:
Mo (0.0000, 0.9996, 0.0036)
Mo (0.5000, 0.1575, 0.1699)
Mo (0.0000, 0.3333, 0.3333)
Mo (0.5000, 0.5092, 0.4968)
Mo (0.0000, 0.6670, 0.6631)
Ta (0.5000, 0.8333, 0.8333)



First-principles (PBE) data for crystalline Mn2Pd2S at its relaxed geometry, as listed in Alexandria.

Computed properties:
Raw formation energy   0.168 eV per atom
V   17.9 A^3/atom
VASP energy   -6.4023 eV per atom
Magnetic moment   1.91 μB per atom

Cell lengths 3.6411, 3.6411, 7.2132 Å; angles 75.38, 75.38, 90.00 degrees
Fractional positions:
S (0.0000, 0.0000, 0.0000)
Mn (0.3959, 0.3959, 0.2081)
Mn (0.6041, 0.6041, 0.7919)
Pd (0.7500, 0.2500, 0.5000)
Pd (0.2500, 0.7500, 0.5000)



First-principles (PBE) data for crystalline HgRuSe at its relaxed geometry, as listed in Alexandria.

Computed properties:
Energy above the lowest structure with this stoichiometry   0.0000 eV per atom
Raw formation energy   -0.017 eV per atom
V   21.2 A^3/atom
VASP energy   -4.3707 eV per atom
Magnetic moment   0.00 μB per atom

Cell lengths 3.3901, 3.3901, 6.4038 Å; angles 90.00, 90.00, 120.00 degrees
Fractional positions:
Hg (0.0000, 0.0000, 0.0433)
Ru (0.3333, 0.6667, 0.3716)
Se (0.6667, 0.3333, 0.5851)